A plane-wave DFT calculation with PBE was carried out for a relaxed YGeO2F crystal.

Cell lengths 4.428, 4.428, 4.241 Å; angles 90.00, 90.00, 90.00 degrees
Fractional positions:
Y: 0.000 0.000 0.000
Ge: 0.500 0.500 0.500
O: 0.000 0.500 0.000
O: 0.500 0.000 0.000
F: 0.000 0.000 0.500

Computed properties:
Crystal system: tetragonal
SG: P4/mmm
DFT total energy in eV per atom: -6.56

=====

A plane-wave DFT calculation with PBE was carried out for a relaxed TcPdSe crystal.

Cell lengths 3.779, 3.076, 14.869 Å; angles 91.49, 139.53, 90.00 degrees
Fractional positions:
Tc: 0.437 0.704 0.563
Tc: 0.563 0.296 0.437
Pd: 0.591 0.749 0.280
Pd: 0.409 0.251 0.720
Se: 0.208 0.765 0.820
Se: 0.792 0.235 0.180

Computed properties:
Crystal system: triclinic
SG: P-1
Density of states at the Fermi level in states/eV/atom: 0.75
DFT total energy in eV per atom: -6.46

=====

A plane-wave DFT calculation with PBE was carried out for a relaxed MgSc2Ru crystal.

Cell lengths 4.706, 4.706, 4.706 Å; angles 60.00, 60.00, 60.00 degrees
Fractional positions:
Mg: 0.500 0.500 0.500
Ru: 0.750 0.750 0.750
Sc: 0.000 0.000 0.000
Sc: 0.250 0.250 0.250

Computed properties:
Formation energy in eV/atom: -0.1114
Crystal system: cubic
SG: F-43m
Density of states at the Fermi level in states/eV/atom: 1.21
DFT total energy in eV per atom: -5.99

=====

A plane-wave DFT calculation with PBE was carried out for a relaxed CrCd2Ir crystal.

Cell lengths 7.599, 7.599, 6.028 Å; angles 50.93, 50.93, 90.00 degrees
Last column: magnetic moment on the atom in μB.
Fractional positions:
Cr: 0.500 0.500 0.000  3.70
Cr: 0.250 0.750 0.500  3.70
Ir: 0.000 0.000 0.000  0.23
Ir: 0.750 0.250 0.500  0.23
Cd: 0.640 0.125 0.250  0.01
Cd: 0.110 0.625 0.250  0.01
Cd: 0.375 0.360 0.750  0.01
Cd: 0.875 0.890 0.750  0.02

Computed properties:
Formation energy in eV/atom: 0.6773
Crystal system: tetragonal
Relative energy among the computed polymorphs in eV/f.u.: 2.39
SG: I-42d
Density of states at the Fermi level in states/eV/atom: 0.87
DFT total energy in eV per atom: -4.40

=====

A plane-wave DFT calculation with PBE was carried out for a relaxed HoCoB2 crystal.

Cell lengths 5.208, 5.782, 6.043 Å; angles 90.00, 90.00, 90.00 degrees
Fractional positions:
Ho: 0.750 0.996 0.345
Ho: 0.750 0.496 0.155
Ho: 0.250 0.004 0.655
Ho: 0.250 0.504 0.845
Co: 0.750 0.818 0.825
Co: 0.750 0.318 0.675
Co: 0.250 0.182 0.175
Co: 0.250 0.682 0.325
B: 0.913 0.626 0.543
B: 0.587 0.126 0.957
B: 0.413 0.374 0.457
B: 0.087 0.874 0.043
B: 0.087 0.374 0.457
B: 0.413 0.874 0.043
B: 0.587 0.626 0.543
B: 0.913 0.126 0.957

Computed properties:
Formation energy in eV/atom: -0.5469
Crystal system: orthorhombic
Relative energy among the computed polymorphs in eV/f.u.: 0.00
SG: Pnma
Density of states at the Fermi level in states/eV/atom: 0.31
DFT total energy in eV per atom: -6.81

=====

A plane-wave DFT calculation with PBE was carried out for a relaxed Tc2GeSeCl crystal.

Cell lengths 4.683, 5.401, 4.683 Å; angles 90.00, 90.00, 90.00 degrees
Last column: magnetic moment on the atom in μB.
Fractional positions:
Ge: 0.000 0.500 0.000  -0.05
Tc: 0.000 0.000 0.500  1.87
Tc: 0.500 0.000 0.000  1.95
Se: 0.000 0.000 0.000  -0.03
Cl: 0.500 0.500 0.500  0.13

Computed properties:
Crystal system: tetragonal
SG: P4/mmm
Density of states at the Fermi level in states/eV/atom: 0.92
DFT total energy in eV per atom: -4.97

=====

A plane-wave DFT calculation with PBE was carried out for a relaxed TbPaAlTc crystal.

Cell lengths 4.967, 4.967, 4.967 Å; angles 60.00, 60.00, 60.00 degrees
Fractional positions:
Pa: 0.500 0.500 0.500
Tb: 0.000 0.000 0.000
Tc: 0.250 0.250 0.250
Al: 0.750 0.750 0.750

Computed properties:
Formation energy in eV/atom: -0.0767
Crystal system: cubic
SG: F-43m
Density of states at the Fermi level in states/eV/atom: 0.42
DFT total energy in eV per atom: -7.14

=====

A plane-wave DFT calculation with PBE was carried out for a relaxed PmCdInRh crystal.

Cell lengths 4.970, 4.970, 4.970 Å; angles 60.00, 60.00, 60.00 degrees
Fractional positions:
Cd: 0.750 0.750 0.750
In: 0.500 0.500 0.500
Rh: 0.250 0.250 0.250
Pm: 0.000 0.000 0.000

Computed properties:
Formation energy in eV/atom: -0.3702
Crystal system: cubic
SG: F-43m
Density of states at the Fermi level in states/eV/atom: 0.84
DFT total energy in eV per atom: -4.31

=====

Ρ (computed, g cm⁻³): 4.244, 8.398, 4.851, 9.871, 8.960, 5.370, 9.865, 9.086